Record 1
Here is a relaxed structure of ZrNiAu2 from Alexandria via LeMat-Bulk. Energies are from PBE.

abc: 4.1216 4.1216 8.0255
angles: 90.00 90.00 90.00
Last column: nearest neighbours and their distance in Å.
Space group I-4m2 (No. 119)
Unique sites:
Zr (0.0000, 0.0000, 0.0000) [2 per cell]  4 Ni 2.88, 8 Au 2.88-2.91
Ni (0.0000, 0.5000, 0.2500) [2 per cell]  4 Zr 2.88, 8 Au 2.88-2.91
Au (0.0000, 0.0000, 0.5000) [2 per cell]  4 Ni 2.88, 4 Au 2.88, 4 Zr 2.91
Au (0.0000, 0.5000, 0.7500) [2 per cell]  4 Zr 2.88, 4 Au 2.88, 4 Ni 2.91

* ΔH_f (0 K): -1.49 eV/f.u.
* crystal system: tetragonal

***

Record 2
Here is a relaxed structure of TiNbCoBr from Alexandria via LeMat-Bulk. Energies are from PBE.

abc: 3.0190 3.1346 7.6503
angles: 100.82 99.68 95.91
Last column: nearest neighbours and their distance in Å.
Space group P1 (No. 1)
Unique sites:
Ti (0.0000, 0.0000, 0.0000) [1 per cell]  4 Co 2.41-2.67, 2 Br 2.69
Nb (0.7892, 0.8037, 0.6022) [1 per cell]  4 Co 2.64-2.82, 2 Br 2.71-2.72, 1 Ti 2.93
Co (0.3955, 0.4176, 0.8255) [1 per cell]  4 Ti 2.41-2.67, 2 Nb 2.64
Br (0.6458, 0.1524, 0.3017) [1 per cell]  2 Ti 2.69, 2 Nb 2.71-2.72

* ΔE to the lowest computed polymorph: 130.4 meV per atom
* formation energy from raw total energies: -0.0739 eV per atom
* crystal system: triclinic